(1)
This record from Alexandria describes an optimized crystal structure of Re2SbPC. The functional is PBE-GGA.

```
Re2SbPC
1.0
4.0622 0.0000 0.0000
0.0000 4.0622 0.0000
0.0000 0.0000 4.9292
Re Sb P C
2 1 1 1
direct
0.0000 0.5000 0.0000
0.5000 0.0000 0.0000
0.0000 0.0000 0.5000
0.5000 0.5000 0.5000
0.0000 0.0000 0.0000
```

Energy, eV per atom: -7.57
Crystal system: tetragonal
DOS at the Fermi energy, states/eV/cell: 4.6
Formation energy without anion corrections, meV per atom: 1159

---

(2)
This record from Alexandria describes an optimized crystal structure of Re2TcPC. The functional is PBE-GGA.

```
Re2TcPC
1.0
3.9897 0.0000 0.0000
0.0000 3.9897 0.0000
0.0000 0.0000 4.2696
Re Tc P C
2 1 1 1
direct
0.0000 0.5000 0.0000
0.5000 0.0000 0.0000
0.0000 0.0000 0.5000
0.5000 0.5000 0.5000
0.5000 0.5000 0.0000
```

Energy, eV per atom: -9.09
Crystal system: tetragonal
Formation energy from the elements, meV per atom: 893
DOS at the Fermi energy, states/eV/cell: 6.5

---

(3)
This record from Alexandria describes an optimized crystal structure of Zr2RePC. The functional is PBE-GGA.

```
Zr2RePC
1.0
4.6497 0.0000 0.0000
0.0000 4.6497 0.0000
0.0000 0.0000 3.5611
Zr Re P C
2 1 1 1
direct
0.0000 0.5000 0.0000
0.5000 0.0000 0.0000
0.0000 0.0000 0.5000
0.5000 0.5000 0.5000
0.5000 0.5000 0.0000
```

Energy, eV per atom: -8.79
Crystal system: tetragonal
Formation energy from the elements, meV per atom: 45
DOS at the Fermi energy, states/eV/cell: 1.8

---

(4)
This record from Alexandria describes an optimized crystal structure of PRh3C. The functional is PBE-GGA.

```
PRh3C
1.0
4.0710 0.0000 0.0000
0.0000 4.0710 0.0000
0.0000 0.0000 4.0710
P Rh C
1 3 1
direct
0.0000 0.0000 0.0000
0.0000 0.5000 0.5000
0.5000 0.0000 0.5000
0.5000 0.5000 0.0000
0.5000 0.5000 0.5000
```

Excess energy over the best structure of this formula in the dataset, meV/atom: 0.0
Energy, eV per atom: -6.97
Crystal system: cubic
Formation energy from the elements, meV per atom: 364
DOS at the Fermi energy, states/eV/cell: 4.8

---

(5)
This record from Alexandria describes an optimized crystal structure of PRhC3. The functional is PBE-GGA.

```
PRhC3
1.0
3.9850 0.0000 0.0000
0.0000 3.9850 0.0000
0.0000 0.0000 3.9850
P Rh C
1 1 3
direct
0.0000 0.0000 0.0000
0.5000 0.5000 0.5000
0.0000 0.5000 0.5000
0.5000 0.0000 0.5000
0.5000 0.5000 0.0000
```

Excess energy over the best structure of this formula in the dataset, meV/atom: 2133.3
Energy, eV per atom: -5.56
Crystal system: cubic
Formation energy from the elements, meV per atom: 2525
DOS at the Fermi energy, states/eV/cell: 2.3

---

(6)
This record from Alexandria describes an optimized crystal structure of PRhC3. The functional is PBE-GGA.

```
PRhC3
1.0
3.6240 0.0000 0.0000
0.0000 3.6240 0.0000
0.0000 0.0000 3.6240
P Rh C
1 1 3
direct
0.0000 0.0000 0.0000
0.5000 0.5000 0.5000
0.0000 0.0000 0.5000
0.0000 0.5000 0.0000
0.5000 0.0000 0.0000
```

Excess energy over the best structure of this formula in the dataset, meV/atom: 1560.1
Energy, eV per atom: -6.13
Crystal system: cubic
Formation energy from the elements, meV per atom: 1952
DOS at the Fermi energy, states/eV/cell: 2.7